The following is a PBE-GGA calculation of TePtAu after structural relaxation, from Alexandria.

Geometry as POSCAR:
```
TePtAu
1.0
3.914 0.000 0.000
-1.957 3.390 0.000
0.000 0.000 4.930
Te Pt Au
1 1 1
direct
0.000 0.000 0.000
0.333 0.667 0.711
0.667 0.333 0.391
```

ρ, Mg/m³: 13.2
DOS at the Fermi energy, states/eV/atom: 0.414
Energy above the most stable polymorph in this dataset, meV per atom: 24
E_form (uncorrected), eV/atom: -0.05
Spin magnetization, μB per cell: 0.0